A plane-wave DFT calculation with PBE-GGA was carried out for a geometry-optimized SmCdRhPb structure.

Output
D(E_F) = 3.05 states/eV/f.u.
ΔH_f (0 K) = -26.94 kJ/mol of atoms
Calculated volume = 22.622 Å³ per atom
Electronic total energy = -0.3273 Ry per atom
Total magnetization = 0.00 μB/f.u.

abc: 7.1266 7.1266 7.1266
angles: 90.00 90.00 90.00
Closest atoms and distances in Å follow each position.
Space group F-43m (No. 216)
Symmetry-distinct sites (fractional):
1 Sm 0.0000 0.0000 0.0000 (multiplicity 4)  4 Cd 3.09, 4 Rh 3.09
2 Cd 0.2500 0.2500 0.2500 (multiplicity 4)  4 Pb 3.09, 4 Sm 3.09
3 Rh 0.2500 0.2500 0.7500 (multiplicity 4)  4 Pb 3.09, 4 Sm 3.09
4 Pb 0.0000 0.0000 0.5000 (multiplicity 4)  4 Rh 3.09, 4 Cd 3.09

A plane-wave DFT calculation with PBE-GGA was carried out for a geometry-optimized Sr2CdRh4Pb3 structure.

Output
D(E_F) = 5.97 states/eV/f.u.
ΔH_f (0 K) = -29.98 kJ/mol of atoms
Calculated volume = 23.795 Å³ per atom
Electronic total energy = -0.3522 Ry per atom
Total magnetization = 0.00 μB/f.u.

abc: 4.5868 4.5868 11.3105
angles: 90.00 90.00 90.00
Closest atoms and distances in Å follow each position.
Space group P-4m2 (No. 115)
Symmetry-distinct sites (fractional):
1 Sr 0.0000 0.5000 0.2473 (multiplicity 2)  8 Rh 3.51-3.62, 6 Pb 3.51-3.66, 2 Cd 3.66
2 Cd 0.0000 0.0000 0.5000 (multiplicity 1)  4 Rh 2.76
3 Rh 0.0000 0.0000 0.0000 (multiplicity 1)  4 Pb 2.71
4 Rh 0.0000 0.5000 0.6351 (multiplicity 2)  3 Pb 2.68-2.76, 2 Cd 2.76
5 Rh 0.5000 0.5000 0.0000 (multiplicity 1)  4 Pb 2.71
6 Pb 0.0000 0.5000 0.8720 (multiplicity 2)  5 Rh 2.68-2.71
7 Pb 0.5000 0.5000 0.5000 (multiplicity 1)  4 Rh 2.76

A plane-wave DFT calculation with PBE-GGA was carried out for a geometry-optimized SrCdRhPb2 structure.

Output
D(E_F) = 4.56 states/eV/f.u.
ΔH_f (0 K) = -12.59 kJ/mol of atoms
Calculated volume = 31.765 Å³ per atom
Electronic total energy = -0.2649 Ry per atom
E above lowest polymorph = 0.0327 eV/atom
Total magnetization = 0.00 μB/f.u.

abc: 5.2996 5.2996 5.6549
angles: 90.00 90.00 90.00
Closest atoms and distances in Å follow each position.
Space group P4/mmm (No. 123)
Symmetry-distinct sites (fractional):
1 Sr 0.0000 0.0000 0.0000 (multiplicity 1)  2 Rh 2.83
2 Cd 0.5000 0.5000 0.0000 (multiplicity 1)  4 Sr 3.75, 8 Pb 3.88
3 Rh 0.0000 0.0000 0.5000 (multiplicity 1)  4 Pb 2.65, 2 Sr 2.83
4 Pb 0.0000 0.5000 0.5000 (multiplicity 2)  2 Rh 2.65

A plane-wave DFT calculation with PBE-GGA was carried out for a geometry-optimized SrCdRhPb2 structure.

Output
D(E_F) = 3.20 states/eV/f.u.
ΔH_f (0 K) = -15.75 kJ/mol of atoms
Calculated volume = 29.749 Å³ per atom
Electronic total energy = -0.2673 Ry per atom
E above lowest polymorph = 0.0000 eV/atom
Total magnetization = 0.00 μB/f.u.

abc: 5.3216 5.3216 5.2524
angles: 90.00 90.00 90.00
Closest atoms and distances in Å follow each position.
Space group P4/mmm (No. 123)
Symmetry-distinct sites (fractional):
1 Sr 0.0000 0.0000 0.0000 (multiplicity 1)  8 Pb 3.74, 4 Cd 3.76
2 Cd 0.5000 0.5000 0.0000 (multiplicity 1)  2 Rh 2.63
3 Rh 0.5000 0.5000 0.5000 (multiplicity 1)  2 Cd 2.63, 4 Pb 2.66
4 Pb 0.0000 0.5000 0.5000 (multiplicity 2)  2 Rh 2.66

A plane-wave DFT calculation with PBE-GGA was carried out for a geometry-optimized TbCdRhPb structure.

Output
D(E_F) = 2.91 states/eV/f.u.
ΔH_f (0 K) = -27.22 kJ/mol of atoms
Calculated volume = 22.085 Å³ per atom
Electronic total energy = -0.3258 Ry per atom
Total magnetization = 0.00 μB/f.u.

abc: 7.0698 7.0698 7.0698
angles: 90.00 90.00 90.00
Closest atoms and distances in Å follow each position.
Space group F-43m (No. 216)
Symmetry-distinct sites (fractional):
1 Tb 0.0000 0.0000 0.0000 (multiplicity 4)  4 Rh 3.06, 4 Cd 3.06
2 Cd 0.2500 0.2500 0.7500 (multiplicity 4)  4 Tb 3.06, 4 Pb 3.06
3 Rh 0.2500 0.2500 0.2500 (multiplicity 4)  4 Tb 3.06, 4 Pb 3.06
4 Pb 0.0000 0.0000 0.5000 (multiplicity 4)  4 Cd 3.06, 4 Rh 3.06

A plane-wave DFT calculation with PBE-GGA was carried out for a geometry-optimized CdTcRh2Pb structure.

Output
D(E_F) = 5.48 states/eV/f.u.
ΔH_f (0 K) = 91.01 kJ/mol of atoms
Calculated volume = 23.528 Å³ per atom
Electronic total energy = -0.3671 Ry per atom
E above lowest polymorph = 0.0000 eV/atom
Total magnetization = 0.00 μB/f.u.

abc: 4.7312 4.7312 5.2556
angles: 90.00 90.00 90.00
Closest atoms and distances in Å follow each position.
Space group P4/mmm (No. 123)
Symmetry-distinct sites (fractional):
1 Cd 0.0000 0.0000 0.0000 (multiplicity 1)  4 Pb 3.35, 8 Rh 3.54
2 Tc 0.5000 0.5000 0.5000 (multiplicity 1)  4 Rh 2.37, 2 Pb 2.63
3 Rh 0.0000 0.5000 0.5000 (multiplicity 2)  2 Tc 2.37
4 Pb 0.5000 0.5000 0.0000 (multiplicity 1)  2 Tc 2.63

A plane-wave DFT calculation with PBE-GGA was carried out for a geometry-optimized CdTcRh2Pb structure.

Output
D(E_F) = 2.84 states/eV/f.u.
ΔH_f (0 K) = 165.19 kJ/mol of atoms
Calculated volume = 25.920 Å³ per atom
Electronic total energy = -0.3106 Ry per atom
E above lowest polymorph = 0.7689 eV/atom
Total magnetization = 4.58 μB/f.u.

abc: 4.9723 4.9723 5.2418
angles: 90.00 90.00 90.00
Closest atoms and distances in Å follow each position.
Space group P4/mmm (No. 123)
Symmetry-distinct sites (fractional):
1 Cd 0.0000 0.0000 0.0000 (multiplicity 1)  2 Pb 2.62
2 Tc 0.5000 0.5000 0.0000 (multiplicity 1)  4 Cd 3.52, 8 Rh 3.61
3 Rh 0.0000 0.5000 0.5000 (multiplicity 2)  2 Pb 2.49
4 Pb 0.0000 0.0000 0.5000 (multiplicity 1)  4 Rh 2.49, 2 Cd 2.62

A plane-wave DFT calculation with PBE-GGA was carried out for a geometry-optimized TlCdRhPb2 structure.

Output
D(E_F) = 3.74 states/eV/f.u.
ΔH_f (0 K) = 4.78 kJ/mol of atoms
Calculated volume = 29.362 Å³ per atom
Electronic total energy = -0.2617 Ry per atom
E above lowest polymorph = 0.0000 eV/atom
Total magnetization = 0.00 μB/f.u.

abc: 5.2647 5.2647 5.2968
angles: 90.00 90.00 90.00
Closest atoms and distances in Å follow each position.
Space group P4/mmm (No. 123)
Symmetry-distinct sites (fractional):
1 Tl 0.0000 0.0000 0.0000 (multiplicity 1)  4 Cd 3.72, 8 Pb 3.73
2 Cd 0.5000 0.5000 0.0000 (multiplicity 1)  2 Rh 2.65
3 Rh 0.5000 0.5000 0.5000 (multiplicity 1)  4 Pb 2.63, 2 Cd 2.65
4 Pb 0.0000 0.5000 0.5000 (multiplicity 2)  2 Rh 2.63

A plane-wave DFT calculation with PBE-GGA was carried out for a geometry-optimized TlCdRhPb2 structure.

Output
D(E_F) = 4.47 states/eV/f.u.
ΔH_f (0 K) = 11.53 kJ/mol of atoms
Calculated volume = 29.994 Å³ per atom
Electronic total energy = -0.2565 Ry per atom
E above lowest polymorph = 0.0699 eV/atom
Total magnetization = 0.00 μB/f.u.

abc: 5.3226 5.3226 5.2937
angles: 90.00 90.00 90.00
Closest atoms and distances in Å follow each position.
Space group P4/mmm (No. 123)
Symmetry-distinct sites (fractional):
1 Tl 0.0000 0.0000 0.0000 (multiplicity 1)  2 Rh 2.65
2 Cd 0.5000 0.5000 0.0000 (multiplicity 1)  8 Pb 3.75, 4 Tl 3.76
3 Rh 0.0000 0.0000 0.5000 (multiplicity 1)  2 Tl 2.65, 4 Pb 2.66
4 Pb 0.0000 0.5000 0.5000 (multiplicity 2)  2 Rh 2.66

A plane-wave DFT calculation with PBE-GGA was carried out for a geometry-optimized Tl2CdRhPb structure.

Output
D(E_F) = 2.84 states/eV/f.u.
ΔH_f (0 K) = 8.46 kJ/mol of atoms
Calculated volume = 29.924 Å³ per atom
Electronic total energy = -0.2392 Ry per atom
Total magnetization = 0.00 μB/f.u.

abc: 5.3116 5.3116 5.3031
angles: 90.00 90.00 90.00
Closest atoms and distances in Å follow each position.
Space group P4/mmm (No. 123)
Symmetry-distinct sites (fractional):
1 Tl 0.0000 0.5000 0.0000 (multiplicity 2)  2 Rh 2.66
2 Cd 0.0000 0.0000 0.5000 (multiplicity 1)  8 Tl 3.75, 4 Pb 3.76
3 Rh 0.5000 0.5000 0.0000 (multiplicity 1)  2 Pb 2.65, 4 Tl 2.66
4 Pb 0.5000 0.5000 0.5000 (multiplicity 1)  2 Rh 2.65

A plane-wave DFT calculation with PBE-GGA was carried out for a geometry-optimized YCdRhPb structure.

Output
D(E_F) = 2.88 states/eV/f.u.
ΔH_f (0 K) = -27.07 kJ/mol of atoms
Calculated volume = 22.083 Å³ per atom
Electronic total energy = -0.3594 Ry per atom
Total magnetization = 0.00 μB/f.u.

abc: 7.0696 7.0696 7.0696
angles: 90.00 90.00 90.00
Closest atoms and distances in Å follow each position.
Space group F-43m (No. 216)
Symmetry-distinct sites (fractional):
1 Y 0.0000 0.0000 0.0000 (multiplicity 4)  4 Cd 3.06, 4 Rh 3.06
2 Cd 0.2500 0.2500 0.2500 (multiplicity 4)  4 Pb 3.06, 4 Y 3.06
3 Rh 0.2500 0.2500 0.7500 (multiplicity 4)  4 Pb 3.06, 4 Y 3.06
4 Pb 0.0000 0.0000 0.5000 (multiplicity 4)  4 Cd 3.06, 4 Rh 3.06

A plane-wave DFT calculation with PBE-GGA was carried out for a geometry-optimized YCdRhPb2 structure.

Output
D(E_F) = 4.44 states/eV/f.u.
ΔH_f (0 K) = 90.30 kJ/mol of atoms
Calculated volume = 32.423 Å³ per atom
Electronic total energy = -0.2568 Ry per atom
Total magnetization = 0.00 μB/f.u.

abc: 5.3514 5.3514 5.6609
angles: 90.00 90.00 90.00
Closest atoms and distances in Å follow each position.
Space group P4/mmm (No. 123)
Symmetry-distinct sites (fractional):
1 Y 0.0000 0.0000 0.0000 (multiplicity 1)  2 Cd 2.83
2 Cd 0.0000 0.0000 0.5000 (multiplicity 1)  4 Pb 2.68, 2 Y 2.83
3 Rh 0.5000 0.5000 0.0000 (multiplicity 1)  4 Y 3.78, 8 Pb 3.89
4 Pb 0.0000 0.5000 0.5000 (multiplicity 2)  2 Cd 2.68